This record from Alexandria describes Tl2V3Cl9 after structural relaxation. The functional is GGA-PBE.

Cell: 9.6861 9.9650 9.9650 Å, 116.27 103.54 103.54°
Last column: magnetic moment on the atom in μB.
Element x y z (fractional)
1 Tl 0.1913 0.5610 0.2399  0.01
2 Tl 0.8087 0.7601 0.4390  0.01
3 Tl 0.8087 0.4390 0.7601  0.01
4 Tl 0.1913 0.2399 0.5610  0.01
5 V 0.3528 0.1314 0.1314  2.02
6 V 0.6472 0.8686 0.8686  2.02
7 V 0.6623 0.0525 0.2497  2.07
8 V 0.3377 0.7503 0.9475  2.07
9 V 0.3377 0.9475 0.7503  2.07
10 V 0.6623 0.2497 0.0525  2.07
11 Cl 0.5000 0.2000 0.8000  -0.02
12 Cl 0.1685 0.4971 0.8919  -0.01
13 Cl 0.1685 0.8919 0.4971  -0.01
14 Cl 0.8315 0.5029 0.1081  -0.01
15 Cl 0.7916 0.7380 0.7380  0.00
16 Cl 0.2084 0.2620 0.2620  0.00
17 Cl 0.5162 0.3840 0.1831  -0.01
18 Cl 0.4838 0.8169 0.6160  -0.01
19 Cl 0.4838 0.6160 0.8169  -0.01
20 Cl 0.5162 0.1831 0.3840  -0.01
21 Cl 0.1753 0.6940 0.6940  -0.02
22 Cl 0.8075 0.9211 0.1197  -0.02
23 Cl 0.8075 0.1197 0.9211  -0.02
24 Cl 0.1925 0.0789 0.8803  -0.02
25 Cl 0.1925 0.8803 0.0789  -0.02
26 Cl 0.5000 0.8000 0.2000  -0.02
27 Cl 0.8247 0.3060 0.3060  -0.02
28 Cl 0.8315 0.1081 0.5029  -0.01

## Properties
- Magnetic moment: 14.0 μB/cell
- Final energy: -4.5693 eV/atom
- Fermi-level density of states: 18.557 states/eV/cell
- Formation energy from raw total energies: -15.263 eV per formula unit